(1)
A plane-wave DFT calculation with PBE was carried out for a geometry-optimized Pm3CdRh2 structure.

```
Pm3CdRh2
1.0
3.591 0.000 0.000
0.000 3.591 0.000
0.000 0.000 11.136
Pm Cd Rh
3 1 2
direct
0.000 0.000 0.000
0.000 0.000 0.305
0.000 0.000 0.695
0.500 0.500 0.500
0.500 0.500 0.159
0.500 0.500 0.841
```

Summary:
E_form: -3.46 eV/f.u.
SG: P4/mmm


(2)
A plane-wave DFT calculation with PBE was carried out for a geometry-optimized Tb4CePm3 structure.

```
Tb4CePm3
1.0
6.227 0.000 0.000
0.000 3.591 0.000
-2.094 0.000 11.676
Tb Ce Pm
4 1 3
direct
0.246 0.000 0.247
0.247 0.500 0.751
0.753 0.500 0.249
0.754 0.000 0.753
0.000 0.500 0.000
0.000 0.000 0.500
0.500 0.000 0.000
0.500 0.500 0.500
```

Summary:
E_form: 0.32 eV/f.u.
SG: P2/m


(3)
A plane-wave DFT calculation with PBE was carried out for a geometry-optimized Ce4I5Br2 structure.

```
Ce4I5Br2
1.0
10.325 -2.100 0.000
10.325 2.100 0.000
-1.438 0.000 11.248
Ce I Br
4 5 2
direct
0.029 0.029 0.210
0.320 0.320 0.483
0.680 0.680 0.517
0.971 0.971 0.790
0.122 0.122 0.707
0.190 0.190 0.288
0.500 0.500 0.000
0.810 0.810 0.712
0.878 0.878 0.293
0.456 0.456 0.607
0.544 0.544 0.393
```

Summary:
ΔE_f (raw): -1.14 eV per atom
SG: C2/m


(4)
A plane-wave DFT calculation with PBE was carried out for a geometry-optimized GaSnGeBi structure.

```
GaSnGeBi
1.0
0.000 3.673 3.673
3.673 0.000 3.673
3.673 3.673 0.000
Ga Sn Ge Bi
1 1 1 1
direct
0.000 0.000 0.000
0.250 0.250 0.250
0.500 0.500 0.500
0.750 0.750 0.750
```

Summary:
E_form: 0.63 eV/f.u.
SG: F-43m


(5)
A plane-wave DFT calculation with PBE was carried out for a geometry-optimized Na3AcBr6 structure.

```
Na3AcBr6
1.0
7.658 0.000 0.000
0.000 7.866 0.000
-7.435 0.000 11.358
Na Ac Br
6 2 12
direct
0.000 0.000 0.000
0.000 0.500 0.500
0.216 0.060 0.723
0.216 0.440 0.223
0.784 0.560 0.777
0.784 0.940 0.277
0.500 0.000 0.500
0.500 0.500 0.000
0.105 0.178 0.443
0.105 0.322 0.943
0.231 0.680 0.405
0.231 0.820 0.905
0.400 0.092 0.256
0.400 0.408 0.756
0.600 0.592 0.244
0.600 0.908 0.744
0.769 0.180 0.095
0.769 0.320 0.595
0.895 0.678 0.057
0.895 0.822 0.557
```

Summary:
ΔE_f (raw): -1.71 eV per atom
SG: P2_1/c


(6)
A plane-wave DFT calculation with PBE was carried out for a geometry-optimized Y2GaSi2 structure.

```
Y2GaSi2
1.0
5.332 -2.085 0.000
5.332 2.085 0.000
-4.801 0.000 9.324
Y Ga Si
4 2 4
direct
0.103 0.103 0.407
0.295 0.295 0.851
0.705 0.705 0.149
0.897 0.897 0.593
0.437 0.437 0.192
0.563 0.563 0.808
0.035 0.035 0.911
0.376 0.376 0.392
0.624 0.624 0.608
0.965 0.965 0.089
```

Summary:
ΔE_f (raw): -0.69 eV per atom
SG: C2/m


(7)
A plane-wave DFT calculation with PBE was carried out for a geometry-optimized MgTaCu structure.

```
MgTaCu
1.0
4.482 0.000 0.000
-2.241 3.882 0.000
0.000 0.000 5.555
Mg Ta Cu
2 2 2
direct
0.000 0.000 0.000
0.000 0.000 0.500
0.333 0.667 0.250
0.667 0.333 0.750
0.333 0.667 0.750
0.667 0.333 0.250
```

Summary:
offset from the most stable computed form: 228 meV per atom
E_form: 0.93 eV/f.u.
SG: P6_3/mmc


(8)
A plane-wave DFT calculation with PBE was carried out for a geometry-optimized NaNd2Ru structure.

```
NaNd2Ru
1.0
2.040 1.178 9.417
-2.040 1.178 9.417
0.000 -2.356 9.417
Na Nd Ru
1 2 1
direct
0.000 0.000 0.000
0.221 0.221 0.221
0.779 0.779 0.779
0.500 0.500 0.500
```

Summary:
offset from the most stable computed form: 51 meV per atom
E_form: -0.16 eV/f.u.
SG: R-3m


no.,density of states at the Fermi level (states/eV/f.u.)
1,2.647
2,13.755
3,29.806
4,3.399
5,0.000
6,1.865
7,0.696
8,2.445